(w)
Crystalline AcScAg at its relaxed geometry, computed with GGA-PBE.

Unit cell a=4.838 b=4.838 c=7.468 alpha=90.00 beta=90.00 gamma=90.00
Space group P4/nmm (No. 129, origin choice 2)
One atom of each set of equivalent atoms:
1 Ac 0.250 0.250 0.130 [2 per cell]
2 Sc 0.250 0.750 0.500 [2 per cell]
3 Ag 0.250 0.250 0.707 [2 per cell]


(x)
Crystalline AcScAg at its relaxed geometry, computed with GGA-PBE.

Unit cell a=5.0118 b=5.0118 c=4.0399 alpha=90.00 beta=90.00 gamma=120.00
Space group P3m1 (No. 156)
One atom of each set of equivalent atoms:
1 Ac 0.0000 0.0000 0.0000 [1 per cell]
2 Sc 0.3333 0.6667 0.5003 [1 per cell]
3 Ag 0.6667 0.3333 0.4987 [1 per cell]


(y)
Crystalline AcScAg at its relaxed geometry, computed with GGA-PBE.

Unit cell a=3.723 b=3.723 c=12.321 alpha=90.00 beta=90.00 gamma=90.00
Space group I4mm (No. 107)
One atom of each set of equivalent atoms:
1 Ac 0.000 0.000 0.000 [2 per cell]
2 Sc 0.000 0.000 0.294 [2 per cell]
3 Ag 0.000 0.000 0.690 [2 per cell]


It turns out (w) is the most stable, with the second structure 73 meV/atom higher.


(w)
Crystalline AcScAg2 at its relaxed geometry, computed with GGA-PBE.

Unit cell a=3.631 b=3.631 c=7.619 alpha=90.00 beta=90.00 gamma=90.00
Space group P4/mmm (No. 123)
One atom of each set of equivalent atoms:
1 Ac 0.000 0.000 0.000 [1 per cell]
2 Sc 0.000 0.000 0.500 [1 per cell]
3 Ag 0.500 0.500 0.301 [2 per cell]


(x)
Crystalline AcScAg2 at its relaxed geometry, computed with GGA-PBE.

Unit cell a=5.282 b=5.282 c=3.699 alpha=90.00 beta=90.00 gamma=90.00
Space group P4/mmm (No. 123)
One atom of each set of equivalent atoms:
1 Ac 0.000 0.000 0.000 [1 per cell]
2 Sc 0.500 0.500 0.000 [1 per cell]
3 Ag 0.000 0.500 0.500 [2 per cell]


It turns out (w) is the most stable, with the second structure 86 meV/atom higher.